DFT (PBE-GGA) results for crystalline BaCuRe2Ni at its relaxed geometry.

Space-group type = P4/mmm (123)
Calculated volume = 24.720 Å³/atom
Formation enthalpy at 0 K = 3.416 eV per atom

a b c (Å): 5.1059 5.1059 4.7411
angles (deg): 90.00 90.00 90.00
Atoms (fractional coordinates):
Ba 0.0000 0.0000 0.0000
Cu 0.5000 0.5000 0.5000
Re 0.0000 0.5000 0.0000
Re 0.5000 0.0000 0.0000
Ni 0.0000 0.0000 0.5000


DFT (PBE-GGA) results for crystalline BaCuNiRh at its relaxed geometry.

Space-group type = Cm (8)
Calculated volume = 21.638 Å³/atom
Formation enthalpy at 0 K = -0.094 eV per atom

a b c (Å): 4.2834 4.2834 5.9858
angles (deg): 111.14 111.14 60.11
Atoms (fractional coordinates):
Ba 0.0000 0.0000 0.0000
Cu 0.1874 0.1874 0.5614
Ni 0.8162 0.8162 0.4457
Rh 0.4925 0.4925 0.4777


DFT (PBE-GGA) results for crystalline BaCuNi2Ru at its relaxed geometry.

Space-group type = P4/mmm (123)
Calculated volume = 19.654 Å³/atom
Formation enthalpy at 0 K = 0.779 eV per atom

a b c (Å): 4.5811 4.5811 4.6826
angles (deg): 90.00 90.00 90.00
Atoms (fractional coordinates):
Ba 0.0000 0.0000 0.0000
Cu 0.5000 0.5000 0.5000
Ni 0.0000 0.5000 0.5000
Ni 0.5000 0.0000 0.5000
Ru 0.5000 0.5000 0.0000


DFT (PBE-GGA) results for crystalline BaCu2NiSb8 at its relaxed geometry.

Space-group type = R-3 (148)
Raw formation energy = -0.03 eV per atom
Calculated volume = 27.093 Å³/atom

a b c (Å): 8.7861 8.7861 8.7861
angles (deg): 46.43 46.43 46.43
Atoms (fractional coordinates):
Ba 0.0000 0.0000 0.0000
Cu 0.2669 0.2669 0.2669
Cu 0.7331 0.7331 0.7331
Ni 0.5000 0.5000 0.5000
Sb 0.1075 0.4396 0.8083
Sb 0.1917 0.8925 0.5604
Sb 0.3767 0.3767 0.3767
Sb 0.4396 0.8083 0.1075
Sb 0.5604 0.1917 0.8925
Sb 0.6233 0.6233 0.6233
Sb 0.8083 0.1075 0.4396
Sb 0.8925 0.5604 0.1917


DFT (PBE-GGA) results for crystalline BaCuSi8Ni2 at its relaxed geometry.

Space-group type = R-3 (148)
Raw formation energy = 0.05 eV per atom
Calculated volume = 16.328 Å³/atom

a b c (Å): 8.2799 8.2799 8.2799
angles (deg): 38.31 38.31 38.31
Atoms (fractional coordinates):
Ba 0.0000 0.0000 0.0000
Cu 0.5000 0.5000 0.5000
Si 0.0557 0.4356 0.8632
Si 0.1368 0.9443 0.5644
Si 0.3909 0.3909 0.3909
Si 0.4356 0.8632 0.0557
Si 0.5644 0.1368 0.9443
Si 0.6091 0.6091 0.6091
Si 0.8632 0.0557 0.4356
Si 0.9443 0.5644 0.1368
Ni 0.2804 0.2804 0.2804
Ni 0.7196 0.7196 0.7196


DFT (PBE-GGA) results for crystalline Ba2TaCuNi at its relaxed geometry.

Space-group type = P4/mmm (123)
Calculated volume = 34.363 Å³/atom
Formation enthalpy at 0 K = 0.768 eV per atom

a b c (Å): 6.0893 6.0893 4.6337
angles (deg): 90.00 90.00 90.00
Atoms (fractional coordinates):
Ba 0.0000 0.5000 0.0000
Ba 0.5000 0.0000 0.0000
Ta 0.0000 0.0000 0.5000
Cu 0.5000 0.5000 0.5000
Ni 0.0000 0.0000 0.0000


DFT (PBE-GGA) results for crystalline Ba2TlCuNi at its relaxed geometry.

Space-group type = P4/mmm (123)
Calculated volume = 32.952 Å³/atom
Formation enthalpy at 0 K = 0.045 eV per atom

a b c (Å): 5.9845 5.9845 4.6003
angles (deg): 90.00 90.00 90.00
Atoms (fractional coordinates):
Ba 0.0000 0.5000 0.0000
Ba 0.5000 0.0000 0.0000
Tl 0.0000 0.0000 0.5000
Cu 0.5000 0.5000 0.5000
Ni 0.5000 0.5000 0.0000


DFT (PBE-GGA) results for crystalline BaZn2CuNi at its relaxed geometry.

Space-group type = P4/mmm (123)
Calculated volume = 21.628 Å³/atom
Formation enthalpy at 0 K = -0.058 eV per atom

a b c (Å): 4.6905 4.6905 4.9153
angles (deg): 90.00 90.00 90.00
Atoms (fractional coordinates):
Ba 0.0000 0.0000 0.0000
Zn 0.0000 0.5000 0.5000
Zn 0.5000 0.0000 0.5000
Cu 0.5000 0.5000 0.0000
Ni 0.5000 0.5000 0.5000


DFT (PBE-GGA) results for crystalline Ba2Zn6CuNi at its relaxed geometry.

Space-group type = C2/m (12)
Calculated volume = 22.388 Å³/atom
Formation enthalpy at 0 K = -0.144 eV per atom

a b c (Å): 6.8092 6.8092 6.8048
angles (deg): 119.83 119.83 90.21
Atoms (fractional coordinates):
Ba 0.2502 0.7498 0.0000
Ba 0.7498 0.2502 0.0000
Zn 0.2464 0.2464 0.4994
Zn 0.2464 0.2464 0.9931
Zn 0.2466 0.7534 0.5000
Zn 0.7534 0.2466 0.5000
Zn 0.7536 0.7536 0.0069
Zn 0.7536 0.7536 0.5006
Cu 0.5000 0.5000 0.5000
Ni 0.0000 0.0000 0.5000


DFT (PBE-GGA) results for crystalline Ba2NpCu2O6 at its relaxed geometry.

Space-group type = R-3m (166)
Raw formation energy = -2.16 eV per atom
Calculated volume = 16.173 Å³/atom

a b c (Å): 6.5130 6.5130 6.5130
angles (deg): 56.14 56.14 56.14
Atoms (fractional coordinates):
Ba 0.2229 0.2229 0.2229
Ba 0.7771 0.7771 0.7771
Np 0.0000 0.0000 0.0000
Cu 0.4227 0.4227 0.4227
Cu 0.5773 0.5773 0.5773
O 0.2261 0.7660 0.7660
O 0.2340 0.2340 0.7739
O 0.2340 0.7739 0.2340
O 0.7660 0.2261 0.7660
O 0.7660 0.7660 0.2261
O 0.7739 0.2340 0.2340


DFT (PBE-GGA) results for crystalline Ba3Np2CuO9 at its relaxed geometry.

Space-group type = P-3m1 (164)
Raw formation energy = -2.65 eV per atom
Calculated volume = 15.923 Å³/atom

a b c (Å): 6.0606 6.0606 7.5084
angles (deg): 90.00 90.00 120.00
Atoms (fractional coordinates):
Ba 0.0000 0.0000 0.0000
Ba 0.3333 0.6667 0.6467
Ba 0.6667 0.3333 0.3533
Np 0.3333 0.6667 0.1727
Np 0.6667 0.3333 0.8273
Cu 0.0000 0.0000 0.5000
O 0.0000 0.5000 0.0000
O 0.1718 0.3435 0.3278
O 0.1718 0.8282 0.3278
O 0.3435 0.1718 0.6722
O 0.5000 0.0000 0.0000
O 0.5000 0.5000 0.0000
O 0.6565 0.8282 0.3278
O 0.8282 0.1718 0.6722
O 0.8282 0.6565 0.6722


DFT (PBE-GGA) results for crystalline Ba3NpCu2O9 at its relaxed geometry.

Space-group type = P-3m1 (164)
Raw formation energy = -2.10 eV per atom
Calculated volume = 14.295 Å³/atom

a b c (Å): 5.8225 5.8225 7.3035
angles (deg): 90.00 90.00 120.00
Atoms (fractional coordinates):
Ba 0.0000 0.0000 0.0000
Ba 0.3333 0.6667 0.6964
Ba 0.6667 0.3333 0.3036
Np 0.0000 0.0000 0.5000
Cu 0.3333 0.6667 0.1483
Cu 0.6667 0.3333 0.8517
O 0.0000 0.5000 0.0000
O 0.1636 0.3272 0.3378
O 0.1636 0.8364 0.3378
O 0.3272 0.1636 0.6622
O 0.5000 0.0000 0.0000
O 0.5000 0.5000 0.0000
O 0.6728 0.8364 0.3378
O 0.8364 0.1636 0.6622
O 0.8364 0.6728 0.6622


Q: What is the calculated volume in the twelfth record?
A: 14.295 Å³/atom


Q: Which formula does entry 4 have?
A: BaCu2NiSb8